Entry from Alexandria via LeMat-Bulk: an optimized crystal structure of Re2MoOs (GGA-PBEsol).

Structure (POSCAR):
```
Re2MoOs
1.0
2.726 0.000 0.000
0.000 2.726 0.000
0.000 0.000 7.902
Re Mo Os
2 1 1
direct
0.000 0.000 0.240 Re
0.000 0.000 0.760 Re
0.500 0.500 0.500 Mo
0.500 0.500 0.000 Os
```

Output
The value obtained for the total energy is -12.54 eV per atom. Its formation energy is 0.125 eV per atom. The space-group type is P4/mmm. The value obtained for the volume is 14.7 A^3/atom.

Entry from Alexandria via LeMat-Bulk: an optimized crystal structure of ReMoOs3 (GGA-PBEsol).

Structure (POSCAR):
```
ReMoOs3
1.0
4.614 0.000 0.000
0.000 4.614 0.000
0.000 0.000 4.614
Re Mo Os
1 1 3
direct
0.000 0.000 0.000 Re
0.500 0.500 0.500 Mo
0.000 0.000 0.500 Os
0.000 0.500 0.000 Os
0.500 0.000 0.000 Os
```

Output
The value obtained for the total energy is -9.76 eV per atom. Its formation energy is 2.591 eV per atom. The space-group type is Pm-3m. The value obtained for the volume is 19.6 A^3/atom.

Entry from Alexandria via LeMat-Bulk: an optimized crystal structure of Re2MoOs (GGA-PBEsol).

Structure (POSCAR):
```
Re2MoOs
1.0
2.743 0.000 0.000
0.000 3.875 0.000
0.000 0.000 5.506
Re Mo Os
2 1 1
direct
0.000 0.000 0.000 Re
0.500 0.500 0.245 Re
0.000 0.000 0.503 Mo
0.500 0.500 0.752 Os
```

Output
The value obtained for the total energy is -12.57 eV per atom. Its formation energy is 0.092 eV per atom. The space-group type is Pmm2. The value obtained for the volume is 14.6 A^3/atom.

Entry from Alexandria via LeMat-Bulk: an optimized crystal structure of Re2MoOs (GGA-PBEsol).

Structure (POSCAR):
```
Re2MoOs
1.0
3.878 0.000 0.000
0.000 3.878 0.000
0.000 0.000 7.774
Re Mo Os
4 2 2
direct
0.000 0.000 0.000 Re
0.000 0.500 0.250 Re
0.500 0.000 0.750 Re
0.500 0.500 0.500 Re
0.000 0.500 0.750 Mo
0.500 0.000 0.250 Mo
0.000 0.000 0.500 Os
0.500 0.500 0.000 Os
```

Output
The value obtained for the total energy is -12.58 eV per atom. Its formation energy is 0.085 eV per atom. The space-group type is I-4m2. The value obtained for the volume is 14.6 A^3/atom.

Entry from Alexandria via LeMat-Bulk: an optimized crystal structure of Re2MoOs (GGA-PBEsol).

Structure (POSCAR):
```
Re2MoOs
1.0
2.747 0.000 0.000
0.000 3.875 0.000
0.000 0.000 5.517
Re Mo Os
2 1 1
direct
0.000 0.000 0.243 Re
0.000 0.000 0.757 Re
0.500 0.500 0.500 Mo
0.500 0.500 0.000 Os
```

Output
The value obtained for the total energy is -12.54 eV per atom. Its formation energy is 0.120 eV per atom. The space-group type is Pmmm. The value obtained for the volume is 14.7 A^3/atom.

Entry from Alexandria via LeMat-Bulk: an optimized crystal structure of MoOsRu2 (GGA-PBEsol).

Structure (POSCAR):
```
MoOsRu2
1.0
3.814 0.000 0.000
0.000 3.814 0.000
0.000 0.000 7.676
Mo Os Ru
2 2 4
direct
0.000 0.000 0.000 Mo
0.500 0.500 0.500 Mo
0.000 0.500 0.250 Os
0.500 0.000 0.750 Os
0.000 0.000 0.500 Ru
0.000 0.500 0.750 Ru
0.500 0.000 0.250 Ru
0.500 0.500 0.000 Ru
```

Output
The value obtained for the total energy is -11.04 eV per atom. Its formation energy is 0.040 eV per atom. The space-group type is I-4m2. The value obtained for the volume is 14.0 A^3/atom.

Entry from Alexandria via LeMat-Bulk: an optimized crystal structure of MoOs2Ru (GGA-PBEsol).

Structure (POSCAR):
```
MoOs2Ru
1.0
3.834 0.000 0.000
0.000 3.834 0.000
0.000 0.000 3.838
Mo Os Ru
1 2 1
direct
0.000 0.000 0.000 Mo
0.000 0.500 0.500 Os
0.500 0.000 0.500 Os
0.500 0.500 0.000 Ru
```

Output
The value obtained for the total energy is -11.58 eV per atom. Its formation energy is 0.011 eV per atom. The space-group type is P4/mmm. The value obtained for the volume is 14.1 A^3/atom.

Entry from Alexandria via LeMat-Bulk: an optimized crystal structure of Mo2OsRu (GGA-PBEsol).

Structure (POSCAR):
```
Mo2OsRu
1.0
3.832 0.000 0.000
0.000 3.832 0.000
0.000 0.000 7.892
Mo Os Ru
4 2 2
direct
0.000 0.000 0.000 Mo
0.000 0.500 0.250 Mo
0.500 0.000 0.750 Mo
0.500 0.500 0.500 Mo
0.000 0.000 0.500 Os
0.500 0.500 0.000 Os
0.000 0.500 0.750 Ru
0.500 0.000 0.250 Ru
```

Output
The value obtained for the total energy is -11.37 eV per atom. Its formation energy is 0.108 eV per atom. The space-group type is I-4m2. The value obtained for the volume is 14.5 A^3/atom.

Entry from Alexandria via LeMat-Bulk: an optimized crystal structure of Mo2OsRu (GGA-PBEsol).

Structure (POSCAR):
```
Mo2OsRu
1.0
4.568 0.000 0.000
0.000 4.568 0.000
0.000 0.000 2.813
Mo Os Ru
2 1 1
direct
0.000 0.500 0.000 Mo
0.500 0.000 0.000 Mo
0.000 0.000 0.500 Os
0.500 0.500 0.500 Ru
```

Output
The value obtained for the total energy is -11.17 eV per atom. Its formation energy is 0.307 eV per atom. The space-group type is P4/mmm. The value obtained for the volume is 14.7 A^3/atom.

Entry from Alexandria via LeMat-Bulk: an optimized crystal structure of MoOs3Ru (GGA-PBEsol).

Structure (POSCAR):
```
MoOs3Ru
1.0
4.545 0.000 0.000
0.000 4.545 0.000
0.000 0.000 4.545
Mo Os Ru
1 3 1
direct
0.000 0.000 0.000 Mo
0.000 0.000 0.500 Os
0.000 0.500 0.000 Os
0.500 0.000 0.000 Os
0.500 0.500 0.500 Ru
```

Output
The value obtained for the total energy is -9.04 eV per atom. Its formation energy is 2.676 eV per atom. The space-group type is Pm-3m. The value obtained for the volume is 18.8 A^3/atom.

Entry from Alexandria via LeMat-Bulk: an optimized crystal structure of MoOsRu2 (GGA-PBEsol).

Structure (POSCAR):
```
MoOsRu2
1.0
2.706 0.000 0.000
-1.345 4.479 0.000
-0.003 -0.823 4.617
Mo Os Ru
1 1 2
direct
0.000 0.000 0.000 Mo
0.247 0.494 0.731 Os
0.501 0.002 0.501 Ru
0.751 0.503 0.248 Ru
```

Output
The value obtained for the total energy is -11.00 eV per atom. Its formation energy is 0.081 eV per atom. The space-group type is P1. The value obtained for the volume is 14.0 A^3/atom.

Entry from Alexandria via LeMat-Bulk: an optimized crystal structure of Mo2OsRu (GGA-PBEsol).

Structure (POSCAR):
```
Mo2OsRu
1.0
6.158 0.000 0.000
0.000 6.158 0.000
0.000 0.000 6.158
Mo Os Ru
8 4 4
direct
0.000 0.000 0.000 Mo
0.000 0.500 0.500 Mo
0.250 0.250 0.250 Mo
0.250 0.750 0.750 Mo
0.500 0.000 0.500 Mo
0.500 0.500 0.000 Mo
0.750 0.250 0.750 Mo
0.750 0.750 0.250 Mo
0.000 0.000 0.500 Os
0.000 0.500 0.000 Os
0.500 0.000 0.000 Os
0.500 0.500 0.500 Os
0.250 0.250 0.750 Ru
0.250 0.750 0.250 Ru
0.750 0.250 0.250 Ru
0.750 0.750 0.750 Ru
```

Output
The value obtained for the total energy is -11.14 eV per atom. Its formation energy is 0.338 eV per atom. The space-group type is F-43m. The value obtained for the volume is 14.6 A^3/atom.